[1]
# TcSb | Alexandria via LeMat-Bulk | meta-GGA SCAN | PBEsol geometry
data_TcSb
_symmetry_space_group_name_H-M 'P 1'
_symmetry_Int_Tables_number 1
_cell_length_a 3.121
_cell_length_b 3.121
_cell_length_c 4.159
_cell_angle_alpha 90.00
_cell_angle_beta 90.00
_cell_angle_gamma 116.84
loop_
_symmetry_equiv_pos_as_xyz
'x,y,z'
loop_
_atom_site_label
_atom_site_fract_x
_atom_site_fract_y
_atom_site_fract_z
_atom_site_occupancy
Sb1 0.000 0.000 0.000 1
Tc1 0.500 0.500 0.500 1
# Formation energy without anion corrections in kJ/mol of formula units: 123
# N(E_F) in states/eV per atom: 0.8252
# DFT total energy in eV per formula unit: -71.047
# Theoretical density in g/cm3: 10.09
# Relative energy among the computed polymorphs in eV/f.u.: 1.15

***

[2]
# Tb2ZrAl9 | Alexandria via LeMat-Bulk | meta-GGA SCAN | PBEsol geometry
data_Tb2ZrAl9
_symmetry_space_group_name_H-M 'P 1'
_symmetry_Int_Tables_number 1
_cell_length_a 4.177
_cell_length_b 4.177
_cell_length_c 12.478
_cell_angle_alpha 90.00
_cell_angle_beta 90.00
_cell_angle_gamma 90.00
loop_
_symmetry_equiv_pos_as_xyz
'x,y,z'
loop_
_atom_site_label
_atom_site_fract_x
_atom_site_fract_y
_atom_site_fract_z
_atom_site_occupancy
Tb1 0.000 0.000 0.330 1
Tb2 0.000 0.000 0.670 1
Al1 0.500 0.500 0.000 1
Al2 0.500 0.500 0.331 1
Al3 0.500 0.500 0.669 1
Al4 0.500 0.000 0.161 1
Al5 0.500 0.000 0.500 1
Al6 0.500 0.000 0.839 1
Al7 0.000 0.500 0.161 1
Al8 0.000 0.500 0.500 1
Al9 0.000 0.500 0.839 1
Zr1 0.000 0.000 0.000 1
# N(E_F) in states/eV per atom: 0.2381
# ΔH_f (0 K) in eV/atom: -0.463
# DFT total energy in eV per formula unit: -199.544
# Theoretical density in g/cm3: 4.97